Record 1
A relaxed Pm2PaPdS5 crystal. Source: Alexandria, functional PBE.

a = 3.8979 Å, b = 8.3976 Å, c = 12.1939 Å
α = 90.00°, β = 90.00°, γ = 103.42°
Last column: magnetic moment on the atom in μB.
Element x y z (fractional)
S1 0.9817 0.9633 0.5243  -0.01
S2 0.4927 0.9855 0.7424  0.00
S3 0.2991 0.5981 0.3640  -0.01
S4 0.3471 0.6943 0.0230  -0.01
S5 0.0183 0.0367 0.0243  -0.01
S6 0.5073 0.0145 0.2424  0.00
S7 0.3018 0.6036 0.6817  -0.01
S8 0.6982 0.3964 0.1817  -0.01
S9 0.6529 0.3057 0.5230  -0.01
S10 0.7009 0.4019 0.8640  -0.01
Pm1 0.1066 0.2132 0.3528  0.00
Pm2 0.1147 0.2294 0.6951  0.00
Pm3 0.8853 0.7706 0.1951  0.00
Pm4 0.8934 0.7868 0.8528  0.00
Pa1 0.1818 0.3635 0.0235  0.52
Pa2 0.8182 0.6365 0.5235  0.52
Pd1 0.5584 0.1169 0.9170  -0.01
Pd2 0.4416 0.8831 0.4170  -0.01

Summary:
Energy = -0.48603 Ry/atom
Uncorrected formation energy = -1632 meV per atom
Symmetry = Cmc2_1

Record 2
A relaxed PmPaPdS4 crystal. Source: Alexandria, functional PBE.

a = 6.4353 Å, b = 6.3473 Å, c = 7.6720 Å
α = 90.00°, β = 106.57°, γ = 90.00°
Element x y z (fractional)
S1 0.5273 0.2500 0.3752
S2 0.0321 0.5194 0.7424
S3 0.4727 0.7500 0.6248
S4 0.9679 0.0194 0.2576
S5 0.4643 0.7500 0.1243
S6 0.9679 0.4806 0.2576
S7 0.0321 0.9806 0.7424
S8 0.5357 0.2500 0.8757
Pm1 0.2188 0.2500 0.0488
Pm2 0.7812 0.7500 0.9512
Pd1 0.7635 0.2500 0.6723
Pd2 0.2365 0.7500 0.3277
Pa1 0.7655 0.7500 0.4434
Pa2 0.2345 0.2500 0.5566

Summary:
Energy = -0.48099 Ry/atom
Uncorrected formation energy = -1409 meV per atom
Symmetry = P2_1/m

Record 3
A relaxed PmPaPdSe4 crystal. Source: Alexandria, functional PBE.

a = 6.7112 Å, b = 6.5609 Å, c = 7.9962 Å
α = 90.00°, β = 106.66°, γ = 90.00°
Element x y z (fractional)
Pa1 0.7556 0.7500 0.4402
Pa2 0.2444 0.2500 0.5598
Pm1 0.2122 0.2500 0.0478
Pm2 0.7879 0.7500 0.9522
Se1 0.5367 0.2500 0.3704
Se2 0.9662 0.0201 0.2583
Se3 0.5444 0.2500 0.8866
Se4 0.9662 0.4799 0.2583
Se5 0.0338 0.5201 0.7417
Se6 0.0338 0.9799 0.7417
Se7 0.4556 0.7500 0.1134
Se8 0.4633 0.7500 0.6296
Pd1 0.2393 0.7500 0.3250
Pd2 0.7607 0.2500 0.6750

Summary:
Energy = -0.44056 Ry/atom
Uncorrected formation energy = -1226 meV per atom
Symmetry = P2_1/m

Record 4
A relaxed PmPaSnPd crystal. Source: Alexandria, functional PBE.

a = 5.2396 Å, b = 5.2396 Å, c = 5.2396 Å
α = 60.00°, β = 60.00°, γ = 60.00°
Last column: magnetic moment on the atom in μB.
Element x y z (fractional)
Pm1 0.5000 0.5000 0.5000  0.29
Pd1 0.7500 0.7500 0.7500  0.06
Pa1 0.0000 0.0000 0.0000  1.23
Sn1 0.2500 0.2500 0.2500  -0.02

Summary:
E_form = -0.30 eV/atom
Energy = -0.45306 Ry/atom
Symmetry = F-43m

no.,total magnetization (μB/f.u.)
1,0.545
2,0.000
3,0.000
4,2.148